FeCuPb2: optimized geometry, PBE.

a = 8.833 Å, b = 8.833 Å, c = 8.833 Å
α = 21.76°, β = 21.76°, γ = 21.76°
Fractional positions:
Fe  0.000  0.000  0.000
Cu  0.500  0.500  0.500
Pb  0.250  0.250  0.250
Pb  0.750  0.750  0.750

Space-group type = R-3m, No. 166
Calculated density = 10.68 g/cm³
ΔE to the lowest computed polymorph = 181 meV/atom
Energy of formation = 0.51 eV/atom
Electronic total energy = -4.481 eV per atom